Entry from Alexandria via LeMat-Bulk: a relaxed structure of Pm3Th2N4 (PBE).

As for the density of states at the Fermi level: 9.2 states/eV per cell. For the total energy, the calculation gives -0.3037 Ha/atom. The uncorrected formation energy is -1.333 eV per atom.

It has space group C2/m (No. 12), with a = 6.304 Å, b = 3.640 Å, c = 15.188 Å, α = 90.00°, β = 90.06° and γ = 90.00°. The inequivalent atoms are Pm at (0.000, 0.000, 0.000), Pm at (0.166, 0.500, 0.614), Th at (0.167, 0.500, 0.196), N at (0.001, 0.000, 0.290) and N at (0.166, 0.500, 0.900).

Entry from Alexandria via LeMat-Bulk: a relaxed structure of K6Rb2NaO (PBE).

As for the density of states at the Fermi level: 11.5 states/eV per cell. For the total energy, the calculation gives -0.0646 Ha/atom. The uncorrected formation energy is -0.279 eV per atom.

It has space group Cm (No. 8), with a = 12.270 Å, b = 12.052 Å, c = 10.616 Å, α = 90.00°, β = 124.95° and γ = 90.00°. The inequivalent atoms are K at (0.000, 0.000, 0.000), K at (0.005, 0.500, 0.997), K at (0.175, 0.293, 0.345), K at (0.379, 0.500, 0.341), K at (0.462, 0.000, 0.334), Rb at (0.146, 0.248, 0.786), Na at (0.281, 0.000, 0.555) and O at (0.144, 0.500, 0.282).

Entry from Alexandria via LeMat-Bulk: a relaxed structure of Cr2ReTc (PBE).

As for the density of states at the Fermi level: 9.3 states/eV per cell. For the total energy, the calculation gives -0.3820 Ha/atom. Its calculated formation energy is 0.12 eV per atom.

It has space group C2/m (No. 12), with a = 5.248 Å, b = 8.352 Å, c = 2.611 Å, α = 90.00°, β = 110.02° and γ = 90.00°. The inequivalent atoms are Cr at (0.250, 0.250, 0.000), Re at (0.000, 0.000, 0.500) and Tc at (0.000, 0.500, 0.500).

Entry from Alexandria via LeMat-Bulk: a relaxed structure of HfZnCo3 (PBE).

As for the density of states at the Fermi level: 4.2 states/eV per cell. The energy above the lowest structure with this stoichiometry comes out at 0.572 eV/atom. For the total energy, the calculation gives -0.2131 Ha/atom. Its calculated formation energy is 0.71 eV per atom.

It has space group Pm-3m (No. 221), with a = 4.243 Å, b = 4.243 Å, c = 4.243 Å, α = 90.00°, β = 90.00° and γ = 90.00°. The inequivalent atoms are Hf at (0.000, 0.000, 0.000), Zn at (0.500, 0.500, 0.500) and Co at (0.000, 0.500, 0.500).